A plane-wave DFT calculation with GGA+U was carried out for a relaxed CrS2NF crystal.

Geometry as CIF:
```
data_CrS2NF
_symmetry_space_group_name_H-M 'P 4/m m m'
_symmetry_Int_Tables_number 123
_symmetry_space_group_name_Hall '-P 4 2'
_cell_length_a 4.4207
_cell_length_b 4.4207
_cell_length_c 3.9695
_cell_angle_alpha 90.00
_cell_angle_beta 90.00
_cell_angle_gamma 90.00
loop_
_atom_site_label
_atom_site_type_symbol
_atom_site_fract_x
_atom_site_fract_y
_atom_site_fract_z
Cr1 Cr 0.0000 0.0000 0.0000
S1 S 0.0000 0.5000 0.5000
N1 N 0.5000 0.5000 0.0000
F1 F 0.5000 0.5000 0.5000
```

Properties
- E (eV per atom) = -3.91
- D(E_F) (states/eV per atom) = 0.51